P:
Computed, not measured: an optimized crystal structure of AcPmPu at the PBE-GGA level of DFT.

space group: P3m1, No. 156
M_tot: 2.13 μB/atom
N(E_F): 2.8388 states/eV/atom

Structure (CIF):
```
data_AcPmPu
_chemical_formula_sum 'Ac1 Pm1 Pu1'
_space_group_name_H-M_alt 'P 1'
_space_group_IT_number 1
_cell_length_a 3.733
_cell_length_b 3.733
_cell_length_c 8.882
_cell_angle_alpha 90.00
_cell_angle_beta 90.00
_cell_angle_gamma 120.00
loop_
_space_group_symop_operation_xyz
'x,y,z'
loop_
_atom_site_label
_atom_site_fract_x
_atom_site_fract_y
_atom_site_fract_z
_atom_site_occupancy
Ac1 0.333 0.667 0.673 1
Pm1 0.667 0.333 0.321 1
Pu1 0.000 0.000 0.007 1
```

Q:
Computed, not measured: an optimized crystal structure of AcPmPu at the PBE-GGA level of DFT.

space group: I4mm, No. 107
M_tot: 2.11 μB/atom
N(E_F): 2.4836 states/eV/atom

Structure (CIF):
```
data_AcPmPu
_chemical_formula_sum 'Ac1 Pm1 Pu1'
_space_group_name_H-M_alt 'P 1'
_space_group_IT_number 1
_cell_length_a 3.714
_cell_length_b 3.714
_cell_length_c 8.142
_cell_angle_alpha 103.18
_cell_angle_beta 103.18
_cell_angle_gamma 90.00
loop_
_space_group_symop_operation_xyz
'x,y,z'
loop_
_atom_site_label
_atom_site_fract_x
_atom_site_fract_y
_atom_site_fract_z
_atom_site_occupancy
Ac1 0.003 0.003 0.006 1
Pm1 0.326 0.326 0.651 1
Pu1 0.672 0.672 0.343 1
```

Least stable: P

P:
Computed, not measured: an optimized crystal structure of AcPmRh at the PBE-GGA level of DFT.

space group: P3m1, No. 156
M_tot: 0.00 μB/atom
N(E_F): 0.9653 states/eV/atom

Structure (CIF):
```
data_AcPmRh
_chemical_formula_sum 'Ac1 Pm1 Rh1'
_space_group_name_H-M_alt 'P 1'
_space_group_IT_number 1
_cell_length_a 6.606
_cell_length_b 4.236
_cell_length_c 4.236
_cell_angle_alpha 120.00
_cell_angle_beta 90.00
_cell_angle_gamma 90.00
loop_
_space_group_symop_operation_xyz
'x,y,z'
loop_
_atom_site_label
_atom_site_fract_x
_atom_site_fract_y
_atom_site_fract_z
_atom_site_occupancy
Ac1 0.761 0.667 0.333 1
Rh1 0.010 0.000 0.000 1
Pm1 0.230 0.333 0.667 1
```

Q:
Computed, not measured: an optimized crystal structure of AcPmRh at the PBE-GGA level of DFT.

space group: I4mm, No. 107
M_tot: 0.00 μB/atom
N(E_F): 1.0567 states/eV/atom

Structure (CIF):
```
data_AcPmRh
_chemical_formula_sum 'Ac1 Pm1 Rh1'
_space_group_name_H-M_alt 'P 1'
_space_group_IT_number 1
_cell_length_a 3.672
_cell_length_b 3.672
_cell_length_c 7.185
_cell_angle_alpha 104.81
_cell_angle_beta 104.81
_cell_angle_gamma 90.00
loop_
_space_group_symop_operation_xyz
'x,y,z'
loop_
_atom_site_label
_atom_site_fract_x
_atom_site_fract_y
_atom_site_fract_z
_atom_site_occupancy
Ac1 0.036 0.036 0.071 1
Rh1 0.675 0.675 0.350 1
Pm1 0.289 0.289 0.578 1
```

Least stable: Q

P:
Computed, not measured: an optimized crystal structure of AcPmRh at the PBE-GGA level of DFT.

space group: P2_1/m, No. 11
M_tot: 0.00 μB/atom
N(E_F): 0.9524 states/eV/atom

Structure (CIF):
```
data_AcPmRh
_chemical_formula_sum 'Ac2 Pm2 Rh2'
_space_group_name_H-M_alt 'P 1'
_space_group_IT_number 1
_cell_length_a 4.231
_cell_length_b 6.596
_cell_length_c 7.353
_cell_angle_alpha 88.76
_cell_angle_beta 90.00
_cell_angle_gamma 89.99
loop_
_space_group_symop_operation_xyz
'x,y,z'
loop_
_atom_site_label
_atom_site_fract_x
_atom_site_fract_y
_atom_site_fract_z
_atom_site_occupancy
Ac1 0.023 0.850 0.622 1
Ac2 0.523 0.326 0.425 1
Pm1 0.023 0.318 0.946 1
Pm2 0.523 0.858 0.101 1
Rh1 0.523 0.103 0.778 1
Rh2 0.023 0.073 0.269 1
```

Q:
Computed, not measured: an optimized crystal structure of AcPmRh at the PBE-GGA level of DFT.

space group: F-43m, No. 216
M_tot: 0.00 μB/atom
N(E_F): 0.8823 states/eV/atom

Structure (CIF):
```
data_AcPmRh
_chemical_formula_sum 'Ac1 Pm1 Rh1'
_space_group_name_H-M_alt 'P 1'
_space_group_IT_number 1
_cell_length_a 5.075
_cell_length_b 5.075
_cell_length_c 5.075
_cell_angle_alpha 60.00
_cell_angle_beta 60.00
_cell_angle_gamma 60.00
loop_
_space_group_symop_operation_xyz
'x,y,z'
loop_
_atom_site_label
_atom_site_fract_x
_atom_site_fract_y
_atom_site_fract_z
_atom_site_occupancy
Ac1 0.000 0.000 0.000 1
Rh1 0.250 0.250 0.250 1
Pm1 0.500 0.500 0.500 1
```

R:
Computed, not measured: an optimized crystal structure of AcPmRh at the PBE-GGA level of DFT.

space group: P2_1/c, No. 14
M_tot: 0.00 μB/atom
N(E_F): 0.7424 states/eV/atom

Structure (CIF):
```
data_AcPmRh
_chemical_formula_sum 'Ac4 Pm4 Rh4'
_space_group_name_H-M_alt 'P 1'
_space_group_IT_number 1
_cell_length_a 7.277
_cell_length_b 6.804
_cell_length_c 8.120
_cell_angle_alpha 93.08
_cell_angle_beta 90.00
_cell_angle_gamma 90.00
loop_
_space_group_symop_operation_xyz
'x,y,z'
loop_
_atom_site_label
_atom_site_fract_x
_atom_site_fract_y
_atom_site_fract_z
_atom_site_occupancy
Ac1 0.417 0.240 0.883 1
Ac2 0.583 0.760 0.117 1
Ac3 0.917 0.260 0.617 1
Ac4 0.083 0.740 0.383 1
Pm1 0.921 0.242 0.117 1
Pm2 0.579 0.742 0.617 1
Pm3 0.079 0.758 0.883 1
Pm4 0.421 0.258 0.383 1
Rh1 0.258 0.503 0.640 1
Rh2 0.742 0.497 0.360 1
Rh3 0.242 0.003 0.140 1
Rh4 0.758 0.997 0.860 1
```

Least stable: Q

P:
Computed, not measured: an optimized crystal structure of Ac3PmRh at the PBE-GGA level of DFT.

space group: Pm-3m, No. 221
M_tot: 0.26 μB/atom
N(E_F): 1.6632 states/eV/atom

Structure (CIF):
```
data_Ac3PmRh
_chemical_formula_sum 'Ac3 Pm1 Rh1'
_space_group_name_H-M_alt 'P 1'
_space_group_IT_number 1
_cell_length_a 5.852
_cell_length_b 5.852
_cell_length_c 5.852
_cell_angle_alpha 90.00
_cell_angle_beta 90.00
_cell_angle_gamma 90.00
loop_
_space_group_symop_operation_xyz
'x,y,z'
loop_
_atom_site_label
_atom_site_fract_x
_atom_site_fract_y
_atom_site_fract_z
_atom_site_occupancy
Ac1 0.000 0.500 0.000 1
Ac2 0.000 0.000 0.500 1
Ac3 0.500 0.000 0.000 1
Rh1 0.000 0.000 0.000 1
Pm1 0.500 0.500 0.500 1
```

Q:
Computed, not measured: an optimized crystal structure of Ac3PmRh at the PBE-GGA level of DFT.

space group: Pmma, No. 51
M_tot: 0.00 μB/atom
N(E_F): 1.1576 states/eV/atom

Structure (CIF):
```
data_Ac3PmRh
_chemical_formula_sum 'Ac6 Pm2 Rh2'
_space_group_name_H-M_alt 'P 1'
_space_group_IT_number 1
_cell_length_a 4.132
_cell_length_b 9.411
_cell_length_c 9.973
_cell_angle_alpha 90.00
_cell_angle_beta 90.00
_cell_angle_gamma 90.00
loop_
_space_group_symop_operation_xyz
'x,y,z'
loop_
_atom_site_label
_atom_site_fract_x
_atom_site_fract_y
_atom_site_fract_z
_atom_site_occupancy
Ac1 0.000 0.267 0.963 1
Ac2 0.000 0.733 0.037 1
Ac3 0.000 0.267 0.537 1
Ac4 0.000 0.733 0.463 1
Ac5 0.500 0.951 0.750 1
Ac6 0.500 0.049 0.250 1
Pm1 0.500 0.552 0.750 1
Pm2 0.500 0.448 0.250 1
Rh1 0.500 0.257 0.750 1
Rh2 0.500 0.743 0.250 1
```

Least stable: P